# 1
# Pu2BeGe4Au3

Crystalline Pu2BeGe4Au3 at its relaxed geometry (PBE-GGA, Alexandria).

```
10
Lattice="4.201 0.000 0.000 0.000 4.201 0.000 0.000 0.000 11.270" Properties=species:S:1:pos:R:3 pbc="T T T"
Pu 0.000 2.101 2.591
Pu 2.101 0.000 8.679
Be 2.101 2.101 0.000
Ge 0.000 0.000 5.635
Ge 0.000 2.101 9.813
Ge 2.101 0.000 1.457
Ge 2.101 2.101 5.635
Au 0.000 0.000 0.000
Au 0.000 2.101 7.291
Au 2.101 0.000 3.979
```

For the formation energy, the calculation gives -241 meV per atom. The magnetic moment is 10.75 Bohr magnetons per cell.

# 2
# Pu2Be3GeAu4

Crystalline Pu2Be3GeAu4 at its relaxed geometry (PBE-GGA, Alexandria).

```
10
Lattice="4.315 0.000 0.000 0.000 4.315 0.000 0.000 0.000 9.622" Properties=species:S:1:pos:R:3 pbc="T T T"
Pu 0.000 2.158 2.395
Pu 2.158 0.000 7.228
Be 0.000 0.000 0.000
Be 0.000 2.158 5.908
Be 2.158 0.000 3.714
Ge 2.158 2.158 0.000
Au 0.000 0.000 4.811
Au 0.000 2.158 8.244
Au 2.158 0.000 1.378
Au 2.158 2.158 4.811
```

For the formation energy, the calculation gives -259 meV per atom. The magnetic moment is 11.30 Bohr magnetons per cell.

# 3
# Be2GeRuAu

Crystalline Be2GeRuAu at its relaxed geometry (PBE-GGA, Alexandria).

```
5
Lattice="4.183 0.000 0.000 0.000 4.183 0.000 0.000 0.000 4.870" Properties=species:S:1:pos:R:3 pbc="T T T"
Be 0.000 2.092 0.000
Be 2.092 0.000 0.000
Ge 0.000 0.000 2.435
Ru 2.092 2.092 2.435
Au 0.000 0.000 0.000
```

For the formation energy, the calculation gives 1033 meV per atom. The magnetic moment is 0.76 Bohr magnetons per cell.

# 4
# ScBeGe2Au

Crystalline ScBeGe2Au at its relaxed geometry (PBE-GGA, Alexandria).

```
5
Lattice="5.069 0.000 0.000 0.000 5.069 0.000 0.000 0.000 4.809" Properties=species:S:1:pos:R:3 pbc="T T T"
Sc 0.000 0.000 0.000
Be 0.000 0.000 2.404
Ge 0.000 2.534 0.000
Ge 2.534 0.000 0.000
Au 2.534 2.534 2.404
```

For the formation energy, the calculation gives 1064 meV per atom. The magnetic moment is 0.00 Bohr magnetons per cell.

Copy entry 2 word for word.
# Pu2Be3GeAu4

Crystalline Pu2Be3GeAu4 at its relaxed geometry (PBE-GGA, Alexandria).

```
10
Lattice="4.315 0.000 0.000 0.000 4.315 0.000 0.000 0.000 9.622" Properties=species:S:1:pos:R:3 pbc="T T T"
Pu 0.000 2.158 2.395
Pu 2.158 0.000 7.228
Be 0.000 0.000 0.000
Be 0.000 2.158 5.908
Be 2.158 0.000 3.714
Ge 2.158 2.158 0.000
Au 0.000 0.000 4.811
Au 0.000 2.158 8.244
Au 2.158 0.000 1.378
Au 2.158 2.158 4.811
```

For the formation energy, the calculation gives -259 meV per atom. The magnetic moment is 11.30 Bohr magnetons per cell.

Which of these has the lowest magnetic moment? ScBeGe2Au

The lowest magnetic moment belongs to which entry? ScBeGe2Au

What is the formula in the third record? Be2GeRuAu